Material: Rb2Np2InSe6
Method: DFT, PBE-GGA
State: optimized geometry

```
Rb2Np2InSe6
1.0
-1.557 5.598 4.363
4.699 -5.108 2.152
5.111 4.100 -5.388
Np Rb Se In
2 2 6 1
Direct
0.333 0.667 0.500
0.667 0.333 0.500
0.835 0.165 0.000
0.165 0.835 0.000
0.730 0.730 0.687
0.939 0.602 0.311
0.398 0.061 0.689
0.602 0.939 0.311
0.270 0.270 0.313
0.061 0.398 0.689
0.000 0.000 0.500
```

Properties
Its raw formation energy is -1.057 eV/atom. Its density of states at the Fermi level is 1.413 states/eV/atom. Its space group is C2/m. The volume comes out at 33.8 Å³/atom. Its total energy is -5.736 eV per atom.